[1]
First-principles (PBE) data for ScBPtRh2 after structural relaxation, as listed in Alexandria.

Space group = P4/mmm
Formation energy = -811 meV/atom

Cell: 4.1608 4.1608 4.1573 Å, 90.00 90.00 90.00°
Atoms (fractional coordinates):
Sc: 0.5000 0.5000 0.5000
Rh: 0.5000 0.0000 0.0000
Pt: 0.0000 0.0000 0.5000
B: 0.0000 0.0000 0.0000
Rh: 0.0000 0.5000 0.0000

***

[2]
First-principles (PBE) data for ScBPt2Rh after structural relaxation, as listed in Alexandria.

ΔE to the lowest computed polymorph = 47.53 kcal/mol of atoms
Space group = P4/mmm
Formation energy = 1329 meV/atom

Cell: 4.9190 4.6082 4.9190 Å, 90.00 90.00 90.00°
Atoms (fractional coordinates):
Pt: 0.5000 0.0000 0.0000
Sc: 0.0000 0.5000 0.0000
Pt: 0.0000 0.0000 0.5000
Rh: 0.0000 0.0000 0.0000
B: 0.5000 0.5000 0.5000

***

[3]
First-principles (PBE) data for ScBPt2Rh after structural relaxation, as listed in Alexandria.

ΔE to the lowest computed polymorph = 0.00 kcal/mol of atoms
Space group = P4/mmm
Formation energy = -732 meV/atom

Cell: 4.2473 4.2473 4.1342 Å, 90.00 90.00 90.00°
Atoms (fractional coordinates):
Pt: 0.0000 0.5000 0.0000
Sc: 0.5000 0.5000 0.5000
Pt: 0.5000 0.0000 0.0000
B: 0.0000 0.0000 0.0000
Rh: 0.0000 0.0000 0.5000

***

[4]
First-principles (PBE) data for Sm2B2PtRh5 after structural relaxation, as listed in Alexandria.

Space group = P4/mbm
Formation energy = -607 meV/atom

Cell: 3.2495 9.6442 9.6442 Å, 90.00 90.00 90.00°
Atoms (fractional coordinates):
B: 0.0000 0.3785 0.1215
Rh: 0.5000 0.5698 0.7275
Rh: 0.5000 0.2275 0.0698
Rh: 0.5000 0.0698 0.7725
Pt: 0.0000 0.0000 0.0000
Rh: 0.5000 0.7275 0.4302
B: 0.0000 0.6215 0.8785
Pt: 0.0000 0.5000 0.5000
Rh: 0.5000 0.4302 0.2725
B: 0.0000 0.8785 0.3785
Sm: 0.0000 0.8219 0.6781
B: 0.0000 0.1215 0.6215
Rh: 0.5000 0.9302 0.2275
Rh: 0.5000 0.0000 0.5000
Rh: 0.5000 0.5000 0.0000
Rh: 0.5000 0.7725 0.9302
Sm: 0.0000 0.1781 0.3219
Sm: 0.0000 0.3219 0.8219
Sm: 0.0000 0.6781 0.1781
Rh: 0.5000 0.2725 0.5698

***

[5]
First-principles (PBE) data for SmBPtRh2 after structural relaxation, as listed in Alexandria.

Space group = P4/mmm
Formation energy = -810 meV/atom

Cell: 4.2480 4.2847 4.2847 Å, 90.00 90.00 90.00°
Atoms (fractional coordinates):
Sm: 0.5000 0.5000 0.5000
Rh: 0.0000 0.5000 0.0000
Pt: 0.5000 0.0000 0.0000
B: 0.0000 0.0000 0.0000
Rh: 0.0000 0.0000 0.5000

***

[6]
First-principles (PBE) data for SnBPt2Rh after structural relaxation, as listed in Alexandria.

Space group = P4/mmm
Formation energy = -174 meV/atom

Cell: 4.2980 4.2980 4.1688 Å, 90.00 90.00 90.00°
Atoms (fractional coordinates):
Sn: 0.5000 0.5000 0.5000
Pt: 0.0000 0.5000 0.0000
B: 0.0000 0.0000 0.0000
Pt: 0.5000 0.0000 0.0000
Rh: 0.0000 0.0000 0.5000